1.
LiAcCuF6 | the Alexandria database | PBE | relaxed; space group = P312 (149); formation energy without anion corrections = -26.8 eV per formula unit; size of the total moment = 1.0 μB/f.u.; crystal system = trigonal
1.0
5.3067 0.0000 0.0000
-2.6533 4.5957 0.0000
0.0000 0.0000 5.3010
Li Ac Cu F
1 1 1 6
direct
0.0000 0.0000 0.0000 Li
0.3333 0.6667 0.5000 Ac
0.6667 0.3333 0.0000 Cu
0.3356 0.0335 0.2195 F
0.3356 0.3021 0.7805 F
0.6979 0.0335 0.7805 F
0.6979 0.6644 0.2195 F
0.9665 0.3021 0.2195 F
0.9665 0.6644 0.7805 F

***

2.
AlSbPt2 | the Alexandria database | PBE | relaxed; space group = I-4m2 (119); formation energy without anion corrections = -1.3 eV per formula unit; size of the total moment = 0.0 μB/f.u.; distance to the lowest polymorph of the same formula = 0.881 eV/f.u.; crystal system = tetragonal
1.0
-1.9947 1.9947 4.3644
1.9947 -1.9947 4.3644
1.9947 1.9947 -4.3644
Al Sb Pt
1 1 2
direct
0.0000 0.0000 0.0000 Al
0.7500 0.2500 0.5000 Sb
0.2500 0.7500 0.5000 Pt
0.5000 0.5000 0.0000 Pt

***

3.
Sm2NiTe | the Alexandria database | PBE | relaxed; space group = R3m (160); formation energy without anion corrections = -3.2 eV per formula unit; size of the total moment = 0.0 μB/f.u.; distance to the lowest polymorph of the same formula = 0.075 eV/f.u.; crystal system = trigonal
1.0
2.0774 1.1994 7.3718
-2.0774 1.1994 7.3718
0.0000 -2.3988 7.3718
Sm Ni Te
2 1 1
direct
0.0000 0.0000 0.0000 Sm
0.1965 0.1965 0.1965 Sm
0.5974 0.5974 0.5974 Ni
0.4316 0.4316 0.4316 Te

***

4.
Sr4TcPt | the Alexandria database | PBE | relaxed; space group = F-43m (216); size of the total moment = 1.7 μB/f.u.; DFT formation energy = 1.16 eV/atom; crystal system = cubic
1.0
0.0000 4.5962 4.5962
4.5962 0.0000 4.5962
4.5962 4.5962 0.0000
Sr Tc Pt
4 1 1
direct
0.1249 0.1249 0.1249 Sr
0.1249 0.1249 0.6253 Sr
0.1249 0.6253 0.1249 Sr
0.6253 0.1249 0.1249 Sr
0.7500 0.7500 0.7500 Tc
0.5000 0.5000 0.5000 Pt

***

5.
Tm2CuO4 | the Alexandria database | PBE | relaxed; space group = P2_1/c (14); formation energy without anion corrections = -17.8 eV per formula unit; size of the total moment = 1.0 μB/f.u.; crystal system = monoclinic
1.0
4.7320 0.0000 0.0000
0.0000 5.8440 0.0000
-1.3962 0.0000 5.8309
Tm Cu O
4 2 8
direct
0.1628 0.0354 0.3052 Tm
0.1628 0.4646 0.8052 Tm
0.8372 0.5354 0.1948 Tm
0.8372 0.9646 0.6948 Tm
0.5000 0.0000 0.0000 Cu
0.5000 0.5000 0.5000 Cu
0.1477 0.6952 0.5002 O
0.1477 0.8048 0.0002 O
0.3350 0.1149 0.6923 O
0.3350 0.3851 0.1923 O
0.6650 0.6149 0.8077 O
0.6650 0.8851 0.3077 O
0.8523 0.1952 0.9998 O
0.8523 0.3048 0.4998 O

***

6.
VAsCl2 | the Alexandria database | PBE | relaxed; space group = R-3m (166); formation energy without anion corrections = -1.4 eV per formula unit; size of the total moment = 0.6 μB/f.u.; distance to the lowest polymorph of the same formula = 0.000 eV/f.u.; crystal system = trigonal
1.0
1.5384 0.8882 11.3208
-1.5384 0.8882 11.3208
0.0000 -1.7764 11.3208
V As Cl
1 1 2
direct
0.0000 0.0000 0.0000 V
0.5000 0.5000 0.5000 As
0.3803 0.3803 0.3803 Cl
0.6197 0.6197 0.6197 Cl